This record from Alexandria via LeMat-Bulk describes an optimized crystal structure of Zn3Cu. The functional is GGA-PBE.

```
Zn3Cu
1.0
5.479 0.000 0.000
-2.739 4.745 0.000
0.000 0.000 4.256
Zn Cu
6 2
direct
0.169 0.339 0.250
0.661 0.831 0.250
0.169 0.831 0.250
0.831 0.661 0.750
0.339 0.169 0.750
0.831 0.169 0.750
0.333 0.667 0.750
0.667 0.333 0.250
```

Values from the calculation:
**Magnetic moment**: 0.00 μB/f.u.
**E_tot**: -0.0755 hartree per atom